This record from Alexandria describes an optimized crystal structure of Sr3Zn2NiO6. The functional is PBE+U.

Cell lengths 5.881, 5.881, 6.330 Å; angles 90.00, 90.00, 120.00 degrees
Each line ends with the local moment (μB).
Element x y z (fractional)
Sr 0.333 0.667 0.629  0.00
Sr 0.667 0.333 0.371  0.00
Sr 0.000 0.000 0.000  0.00
Zn 0.667 0.333 0.818  0.03
Zn 0.333 0.667 0.182  0.03
Ni 0.000 0.000 0.500  1.75
O 0.674 0.837 0.298  0.02
O 0.163 0.326 0.298  0.02
O 0.163 0.837 0.298  0.02
O 0.837 0.674 0.702  0.02
O 0.326 0.163 0.702  0.02
O 0.837 0.163 0.702  0.02

## Properties
Symmetry   P-3m1
Final energy   -60.6 eV per formula unit